(1)
# Er2MgTl2 (PBE, relaxed)
data_Er2MgTl2
_symmetry_space_group_name_H-M 'P 4/m b m'
_symmetry_Int_Tables_number 127
_symmetry_space_group_name_Hall '-P 4 2ab'
_cell_length_a 7.7444
_cell_length_b 7.7444
_cell_length_c 4.4607
_cell_angle_alpha 90.00
_cell_angle_beta 90.00
_cell_angle_gamma 90.00
loop_
_atom_site_label
_atom_site_type_symbol
_atom_site_fract_x
_atom_site_fract_y
_atom_site_fract_z
Er1 Er 0.1671 0.3329 0.0000
Mg1 Mg 0.0000 0.0000 0.5000
Tl1 Tl 0.1385 0.6385 0.5000
# energy of formation from the pure elements: -0.264 eV per atom
# N(E_F): 0.758 states/eV per atom

(2)
# Er2Mg3Tl2 (PBE, relaxed)
data_Er2Mg3Tl2
_symmetry_space_group_name_H-M 'C m m m'
_symmetry_Int_Tables_number 65
_symmetry_space_group_name_Hall '-C 2 2'
_cell_length_a 4.7561
_cell_length_b 22.1480
_cell_length_c 3.4831
_cell_angle_alpha 90.00
_cell_angle_beta 90.00
_cell_angle_gamma 90.00
loop_
_atom_site_label
_atom_site_type_symbol
_atom_site_fract_x
_atom_site_fract_y
_atom_site_fract_z
Er1 Er 0.0000 0.1545 0.0000
Mg1 Mg 0.0000 0.0000 0.0000
Mg2 Mg 0.0000 0.4308 0.5000
Tl1 Tl 0.0000 0.2936 0.5000
# energy of formation from the pure elements: -0.092 eV per atom
# N(E_F): 0.677 states/eV per atom

(3)
# Er12Mg2Tl5 (PBE, relaxed)
data_Er12Mg2Tl5
_symmetry_space_group_name_H-M 'C 1 2/m 1'
_symmetry_Int_Tables_number 12
_symmetry_space_group_name_Hall '-C 2y'
_cell_length_a 13.2305
_cell_length_b 10.1766
_cell_length_c 8.2942
_cell_angle_alpha 90.00
_cell_angle_beta 99.02
_cell_angle_gamma 90.00
loop_
_atom_site_label
_atom_site_type_symbol
_atom_site_fract_x
_atom_site_fract_y
_atom_site_fract_z
Er1 Er 0.0856 0.0000 0.1877
Er2 Er 0.1002 0.5000 0.6480
Er3 Er 0.1128 0.2244 0.8873
Er4 Er 0.1414 0.3222 0.3001
Mg1 Mg 0.0000 0.1741 0.5000
Tl1 Tl 0.0000 0.5000 0.0000
Tl2 Tl 0.1804 0.0000 0.5524
Tl3 Tl 0.2352 0.5000 0.0183
# energy of formation from the pure elements: -0.070 eV per atom
# N(E_F): 1.163 states/eV per atom